First-principles (PBE-GGA) data for crystalline NbO3 at its relaxed geometry, as listed in the Alexandria database.

CIF file:
```
data_NbO3
_cell_length_a 4.7416
_cell_length_b 4.7416
_cell_length_c 3.7051
_cell_angle_alpha 90.00
_cell_angle_beta 90.00
_cell_angle_gamma 120.00
_symmetry_space_group_name_H-M 'P 1'
_symmetry_Int_Tables_number 1
loop_
_symmetry_equiv_pos_as_xyz
'x,y,z'
loop_
_atom_site_label
_atom_site_type_symbol
_atom_site_fract_x
_atom_site_fract_y
_atom_site_fract_z
_atom_site_occupancy
Nb1 Nb 0.3333 0.6667 0.2500 1
Nb2 Nb 0.6667 0.3333 0.7500 1
O1 O 0.1809 0.3618 0.7500 1
O2 O 0.1809 0.8191 0.7500 1
O3 O 0.3618 0.1809 0.2500 1
O4 O 0.6382 0.8191 0.7500 1
O5 O 0.8191 0.1809 0.2500 1
O6 O 0.8191 0.6382 0.2500 1
```

Results
Polymorph energy (0 for the lowest one): 0.815 eV per atom
Uncorrected formation energy: -26.09 kcal/mol of atoms
N(E_F): 3.0 states/eV per cell

=====

First-principles (PBE-GGA) data for crystalline Cs3Pm2USe6 at its relaxed geometry, as listed in the Alexandria database.

CIF file:
```
data_Cs3Pm2USe6
_cell_length_a 7.5476
_cell_length_b 7.5476
_cell_length_c 8.7765
_cell_angle_alpha 98.24
_cell_angle_beta 98.24
_cell_angle_gamma 120.00
_symmetry_space_group_name_H-M 'P 1'
_symmetry_Int_Tables_number 1
loop_
_symmetry_equiv_pos_as_xyz
'x,y,z'
loop_
_atom_site_label
_atom_site_type_symbol
_atom_site_fract_x
_atom_site_fract_y
_atom_site_fract_z
_atom_site_occupancy
Cs1 Cs 0.0000 0.0000 0.0000 1
Cs2 Cs 0.3316 0.6684 0.0000 1
Cs3 Cs 0.6684 0.3316 0.0000 1
Pm1 Pm 0.1665 0.8335 0.5000 1
Pm2 Pm 0.8335 0.1665 0.5000 1
U1 U 0.5000 0.5000 0.5000 1
Se1 Se 0.1076 0.4371 0.3111 1
Se2 Se 0.2338 0.2338 0.6896 1
Se3 Se 0.4371 0.1076 0.3111 1
Se4 Se 0.5629 0.8924 0.6889 1
Se5 Se 0.7662 0.7662 0.3104 1
Se6 Se 0.8924 0.5629 0.6889 1
```

Results
Uncorrected formation energy: -35.56 kcal/mol of atoms
N(E_F): 10.5 states/eV per cell

=====

First-principles (PBE-GGA) data for crystalline ZnAgCl2 at its relaxed geometry, as listed in the Alexandria database.

CIF file:
```
data_ZnAgCl2
_cell_length_a 8.4630
_cell_length_b 8.4630
_cell_length_c 8.4630
_cell_angle_alpha 25.56
_cell_angle_beta 25.56
_cell_angle_gamma 25.56
_symmetry_space_group_name_H-M 'P 1'
_symmetry_Int_Tables_number 1
loop_
_symmetry_equiv_pos_as_xyz
'x,y,z'
loop_
_atom_site_label
_atom_site_type_symbol
_atom_site_fract_x
_atom_site_fract_y
_atom_site_fract_z
_atom_site_occupancy
Zn1 Zn 0.0000 0.0000 0.0000 1
Ag1 Ag 0.5000 0.5000 0.5000 1
Cl1 Cl 0.0976 0.0976 0.0976 1
Cl2 Cl 0.9024 0.9024 0.9024 1
```

Results
Polymorph energy (0 for the lowest one): 0.240 eV per atom
Uncorrected formation energy: -6.27 kcal/mol of atoms
N(E_F): 1.3 states/eV per cell

=====

First-principles (PBE-GGA) data for crystalline Ba2ScTc at its relaxed geometry, as listed in the Alexandria database.

CIF file:
```
data_Ba2ScTc
_cell_length_a 3.5739
_cell_length_b 3.5739
_cell_length_c 10.3587
_cell_angle_alpha 90.00
_cell_angle_beta 90.00
_cell_angle_gamma 90.00
_symmetry_space_group_name_H-M 'P 1'
_symmetry_Int_Tables_number 1
loop_
_symmetry_equiv_pos_as_xyz
'x,y,z'
loop_
_atom_site_label
_atom_site_type_symbol
_atom_site_fract_x
_atom_site_fract_y
_atom_site_fract_z
_atom_site_occupancy
Ba1 Ba 0.0000 0.0000 0.2061 1
Ba2 Ba 0.0000 0.0000 0.7939 1
Sc1 Sc 0.5000 0.5000 0.5000 1
Tc1 Tc 0.5000 0.5000 0.0000 1
```

Results
Polymorph energy (0 for the lowest one): 0.556 eV per atom
N(E_F): 6.1 states/eV per cell

=====

First-principles (PBE-GGA) data for crystalline Sr3MoCl at its relaxed geometry, as listed in the Alexandria database.

CIF file:
```
data_Sr3MoCl
_cell_length_a 5.7447
_cell_length_b 5.7447
_cell_length_c 5.7447
_cell_angle_alpha 90.00
_cell_angle_beta 90.00
_cell_angle_gamma 90.00
_symmetry_space_group_name_H-M 'P 1'
_symmetry_Int_Tables_number 1
loop_
_symmetry_equiv_pos_as_xyz
'x,y,z'
loop_
_atom_site_label
_atom_site_type_symbol
_atom_site_fract_x
_atom_site_fract_y
_atom_site_fract_z
_atom_site_occupancy
Sr1 Sr 0.0000 0.0000 0.5000 1
Sr2 Sr 0.0000 0.5000 0.0000 1
Sr3 Sr 0.5000 0.0000 0.0000 1
Mo1 Mo 0.5000 0.5000 0.5000 1
Cl1 Cl 0.0000 0.0000 0.0000 1
```

Results
Polymorph energy (0 for the lowest one): 0.000 eV per atom
Uncorrected formation energy: 4.16 kcal/mol of atoms
N(E_F): 5.5 states/eV per cell

=====

First-principles (PBE-GGA) data for crystalline Cs2KAgPd at its relaxed geometry, as listed in the Alexandria database.

CIF file:
```
data_Cs2KAgPd
_cell_length_a 6.7579
_cell_length_b 6.7579
_cell_length_c 5.4112
_cell_angle_alpha 90.00
_cell_angle_beta 90.00
_cell_angle_gamma 90.00
_symmetry_space_group_name_H-M 'P 1'
_symmetry_Int_Tables_number 1
loop_
_symmetry_equiv_pos_as_xyz
'x,y,z'
loop_
_atom_site_label
_atom_site_type_symbol
_atom_site_fract_x
_atom_site_fract_y
_atom_site_fract_z
_atom_site_occupancy
Cs1 Cs 0.0000 0.5000 0.0000 1
Cs2 Cs 0.5000 0.0000 0.0000 1
K1 K 0.0000 0.0000 0.5000 1
Ag1 Ag 0.5000 0.5000 0.5000 1
Pd1 Pd 0.5000 0.5000 0.0000 1
```

Results
Polymorph energy (0 for the lowest one): 0.029 eV per atom
N(E_F): 2.6 states/eV per cell